KCa2PbBr8: optimized geometry, PBE.

POSCAR file:
```
KCa2PbBr8
1.0
-5.9118 3.4221 -1.8668
-3.4984 -5.8273 -0.0025
-2.0466 1.2230 8.7211
Br Ca K Pb
8 2 1 1
Cartesian
-7.4634 2.3396 5.1645 Br
-7.3521 -1.3639 3.1533 Br
-3.9935 -3.5217 1.6873 Br
-4.1047 0.1818 3.6984 Br
-6.3456 1.6724 0.4064 Br
-8.5003 -0.8748 7.5017 Br
-2.9565 -0.3074 -0.6500 Br
-5.1113 -2.8546 6.4454 Br
-6.2359 -0.2877 5.5881 Ca
-5.2210 -0.8945 1.2637 Ca
-1.0233 0.6115 4.3605 K
0.0000 0.0000 0.0000 Pb
```

Computed properties:
Fermi-level density of states: 5.6 states/eV/f.u.
ΔE_f (raw): -17.54 eV per formula unit
total magnetic moment: 0.00 μB per formula unit
symmetry: P2/m (10)